[1]
5
Lattice="5.2383 0.0000 0.0000 0.0000 5.2383 0.0000 0.0000 0.0000 5.2383" Properties=species:S:1:pos:R:3 comment="BaZrPt3 GGA-PBE relaxed" de_polymorph_mev_per_atom=1819 density_g_cm3=9.40 delta_e_f_ev_per_atom=1.502 vol_a3_per_atom=28.7 final_energy_ev_per_atom=-4.22 sg="No. 221" pbc="T T T"
Ba 0.0000 0.0000 0.0000
Pt 2.6192 0.0000 0.0000
Pt 0.0000 2.6192 0.0000
Pt 0.0000 0.0000 2.6192
Zr 2.6192 2.6192 2.6192



[2]
4
Lattice="-1.9865 0.6755 2.0549 0.3645 -3.0080 1.3412 5.3124 2.5585 4.2944" Properties=species:S:1:pos:R:3 comment="Be2PPb GGA-PBE relaxed" de_polymorph_mev_per_atom=211 density_g_cm3=5.99 delta_e_f_ev_per_atom=0.357 vol_a3_per_atom=17.7 final_energy_ev_per_atom=-3.79 sg="No. 25" pbc="T T T"
Be 0.4020 0.1936 0.3250
Be 0.4824 -0.5433 2.7436
Pb 3.5352 0.9269 5.2114
P 1.9270 0.9281 1.5577



[3]
10
Lattice="7.1397 0.0000 0.0000 0.0000 7.1397 0.0000 0.0000 0.0000 2.9022" Properties=species:S:1:pos:R:3 comment="VAs2Ru2 GGA-PBE relaxed" density_g_cm3=9.05 delta_e_f_ev_per_atom=0.016 vol_a3_per_atom=14.8 final_energy_ev_per_atom=-7.38 sg="No. 127" pbc="T T T"
As 4.6851 1.1153 0.0000
As 1.1153 2.4546 0.0000
As 2.4546 6.0245 0.0000
As 6.0245 4.6851 0.0000
Ru 4.6125 6.0971 1.4511
Ru 2.5272 1.0426 1.4511
Ru 6.0971 2.5272 1.4511
Ru 1.0426 4.6125 1.4511
V 0.0000 0.0000 0.0000
V 3.5699 3.5699 0.0000



[4]
5
Lattice="4.6444 0.0000 0.0000 0.0000 4.6444 0.0000 0.0000 0.0000 4.6444" Properties=species:S:1:pos:R:3 comment="TaTi3Re GGA-PBE relaxed" de_polymorph_mev_per_atom=1616 density_g_cm3=8.47 delta_e_f_ev_per_atom=1.536 vol_a3_per_atom=20.0 final_energy_ev_per_atom=-8.06 sg="No. 221" pbc="T T T"
Re 2.3222 2.3222 2.3222
Ta 0.0000 0.0000 0.0000
Ti 2.3222 0.0000 0.0000
Ti 0.0000 0.0000 2.3222
Ti 0.0000 2.3222 0.0000



[5]
12
Lattice="7.1237 -0.0049 -0.0048 0.0253 6.8236 -0.0078 0.0055 0.0103 8.8095" Properties=species:S:1:pos:R:3 comment="Sn2GePbBr8 GGA-PBE relaxed" density_g_cm3=4.48 vol_a3_per_atom=35.7 final_energy_ev_per_atom=-3.20 e_form_raw_ev_per_atom=-0.7278 sg="No. 10" pbc="T T T"
Br 1.1787 5.2365 2.0462
Br 4.7004 5.0040 4.3974
Br 4.8662 5.1154 8.7987
Br 5.9758 1.5925 6.7506
Br 2.2883 1.7136 -0.0019
Br 5.9703 1.5848 2.0469
Br 1.1842 5.2441 6.7499
Br 2.4540 1.8249 4.3995
Pb 0.0027 0.0052 4.4047
Sn 3.5748 3.4109 2.1203
Sn 3.5797 3.4180 6.6765
Ge 0.0000 0.0000 0.0000



[6]
12
Lattice="-3.5052 -1.6416 7.4046 -4.6734 -1.2044 -6.8204 6.1740 -5.0275 -2.5329" Properties=species:S:1:pos:R:3 comment="Tb8Sm3Sc GGA-PBE relaxed" density_g_cm3=6.87 delta_e_f_ev_per_atom=0.592 vol_a3_per_atom=35.6 final_energy_ev_per_atom=-4.20 sg="No. 121" pbc="T T T"
Sc 0.0000 0.0000 0.0000
Tb -0.7475 -5.4875 -3.0019
Tb -2.0899 -2.2539 -6.0416
Tb -0.3363 -2.6976 -1.5544
Tb 2.5114 -5.2200 -6.5676
Tb 3.6635 -4.2817 -3.7675
Tb -1.3303 -2.0824 1.5089
Tb -2.4489 -1.9342 4.4712
Tb -0.2303 -4.2537 -7.6513
Sm 0.7503 -3.1160 -4.6767
Sm 1.7095 -4.8925 0.0975
Sm -3.7142 -2.9810 -2.0462